Material: Sm2Er12Th
Method: DFT, PBE
State: relaxed

## Properties
Formation energy from the elements (meV per atom): 37
N(E_F) (states/eV per cell): 25.98

The structure in POSCAR format:
```
Sm2Er12Th
1.0
3.534 0.000 0.000
0.003 5.558 0.000
1.729 2.758 23.963
Sm Er Th
2 12 1
direct
0.137 0.138 0.223
0.863 0.862 0.777
0.093 0.595 0.310
0.226 0.728 0.042
0.300 0.800 0.903
0.341 0.338 0.824
0.430 0.930 0.641
0.469 0.467 0.566
0.531 0.533 0.434
0.570 0.070 0.359
0.659 0.662 0.176
0.700 0.200 0.097
0.774 0.272 0.958
0.907 0.405 0.690
0.000 0.000 0.500
```

Material: Ac8ZnIr3I3
Method: DFT, PBE
State: relaxed

## Properties
N(E_F) (states/eV per cell): 7.56
E_form (uncorrected) (eV/atom): -0.83

The structure in POSCAR format:
```
Ac8ZnIr3I3
1.0
7.750 -4.470 0.000
7.750 4.470 0.000
-5.172 0.000 8.373
Ac Zn Ir I
8 1 3 3
direct
0.211 0.740 0.691
0.230 0.230 0.689
0.260 0.260 0.308
0.260 0.789 0.309
0.740 0.211 0.691
0.740 0.740 0.692
0.770 0.770 0.311
0.789 0.260 0.309
0.500 0.500 0.500
0.000 0.000 0.500
0.000 0.500 0.500
0.500 0.000 0.500
0.000 0.500 0.000
0.500 0.000 0.000
0.500 0.500 0.000
```

Material: Er2SnAu
Method: DFT, PBE
State: relaxed

## Properties
Formation energy from the elements (meV per atom): -587
N(E_F) (states/eV per cell): 3.15

The structure in POSCAR format:
```
Er2SnAu
1.0
1.921 1.109 8.405
-1.921 1.109 8.405
0.000 -2.218 8.405
Er Sn Au
2 1 1
direct
0.242 0.242 0.242
0.758 0.758 0.758
0.000 0.000 0.000
0.500 0.500 0.500
```

Material: LiAsRuSe2
Method: DFT, PBE
State: relaxed

## Properties
Distance to the lowest polymorph of the same formula (kJ/mol of formula units): 0.0
N(E_F) (states/eV per cell): 6.80
E_form (uncorrected) (eV/atom): 0.15

The structure in POSCAR format:
```
LiAsRuSe2
1.0
5.118 0.000 0.000
0.000 5.118 0.000
0.000 0.000 4.604
Li As Ru Se
1 1 1 2
direct
0.000 0.000 0.000
0.500 0.500 0.000
0.500 0.500 0.500
0.000 0.500 0.500
0.500 0.000 0.500
```

Material: CuAg3Au3
Method: DFT, PBE
State: relaxed

## Properties
Formation energy from the elements (meV per atom): 52
Distance to the lowest polymorph of the same formula (kJ/mol of formula units): 11.4
N(E_F) (states/eV per cell): 7.96

The structure in POSCAR format:
```
CuAg3Au3
1.0
10.335 0.000 0.000
0.000 4.675 0.000
0.000 0.000 10.513
Cu Ag Au
4 12 12
direct
0.073 0.250 0.056
0.427 0.750 0.556
0.573 0.250 0.444
0.927 0.750 0.944
0.036 0.250 0.570
0.195 0.750 0.970
0.246 0.750 0.314
0.254 0.250 0.814
0.305 0.250 0.470
0.464 0.750 0.070
0.536 0.250 0.930
0.695 0.750 0.530
0.746 0.750 0.186
0.754 0.250 0.686
0.805 0.250 0.030
0.964 0.750 0.430
0.013 0.750 0.169
0.083 0.250 0.306
0.189 0.750 0.640
0.311 0.250 0.140
0.417 0.750 0.806
0.487 0.250 0.669
0.513 0.750 0.331
0.583 0.250 0.194
0.689 0.750 0.860
0.811 0.250 0.360
0.917 0.750 0.694
0.987 0.250 0.831
```

Material: CsDySn2Cl8
Method: DFT, PBE
State: relaxed

## Properties
N(E_F) (states/eV per cell): 0.00
E_form (uncorrected) (eV/atom): -1.59

The structure in POSCAR format:
```
CsDySn2Cl8
1.0
6.466 0.000 0.000
0.400 6.961 0.000
0.402 0.963 9.541
Cs Dy Sn Cl
1 1 2 8
direct
0.000 0.000 0.000
0.000 0.000 0.500
0.482 0.479 0.262
0.518 0.521 0.738
0.224 0.828 0.309
0.231 0.314 0.460
0.256 0.864 0.701
0.267 0.393 0.067
0.733 0.607 0.933
0.744 0.136 0.299
0.769 0.686 0.540
0.776 0.172 0.691
```

Material: LiNdZrRu
Method: DFT, PBE
State: relaxed

## Properties
Formation energy from the elements (meV per atom): -115
N(E_F) (states/eV per cell): 4.33

The structure in POSCAR format:
```
LiNdZrRu
1.0
0.000 3.442 3.442
3.442 0.000 3.442
3.442 3.442 0.000
Li Nd Zr Ru
1 1 1 1
direct
0.000 0.000 0.000
0.250 0.250 0.250
0.750 0.750 0.750
0.500 0.500 0.500
```

Material: Tb2SnCl8
Method: DFT, PBE
State: relaxed

## Properties
N(E_F) (states/eV per cell): 0.00
E_form (uncorrected) (eV/atom): -1.80

The structure in POSCAR format:
```
Tb2SnCl8
1.0
6.710 -3.430 0.000
6.710 3.430 0.000
-0.198 0.000 8.633
Tb Sn Cl
2 1 8
direct
0.143 0.143 0.382
0.857 0.857 0.618
0.000 0.000 0.000
0.067 0.067 0.669
0.121 0.615 0.838
0.325 0.325 0.465
0.385 0.879 0.162
0.615 0.121 0.838
0.675 0.675 0.535
0.879 0.385 0.162
0.933 0.933 0.331
```

Material: CrCdAg2
Method: DFT, PBE
State: relaxed

## Properties
Formation energy from the elements (meV per atom): 238
N(E_F) (states/eV per cell): 1.61

The structure in POSCAR format:
```
CrCdAg2
1.0
4.213 0.000 0.000
0.000 4.213 0.000
0.000 0.000 4.126
Cr Cd Ag
1 1 2
direct
0.000 0.000 0.000
0.500 0.500 0.000
0.000 0.500 0.500
0.500 0.000 0.500
```

Material: AlCr2Mo
Method: DFT, PBE
State: relaxed

## Properties
Formation energy from the elements (meV per atom): 10
N(E_F) (states/eV per cell): 3.74

The structure in POSCAR format:
```
AlCr2Mo
1.0
2.616 0.000 0.000
0.000 4.143 0.000
-1.050 0.000 4.959
Al Cr Mo
1 2 1
direct
0.000 0.000 0.000
0.551 0.000 0.479
0.750 0.500 0.244
0.317 0.500 0.739
```